Dy7SnGe5: relaxed, PBE-GGA.

Cell lengths 5.893, 10.970, 9.948 Å; angles 90.00, 90.00, 90.00 degrees
Space group Imm2 (No. 44)
Asymmetric unit:
Dy (0.000, 0.000, 0.000) (multiplicity 2)
Dy (0.000, 0.000, 0.378) (multiplicity 2)
Dy (0.000, 0.328, 0.632) (multiplicity 4)
Dy (0.000, 0.336, 0.090) (multiplicity 4)
Dy (0.000, 0.500, 0.350) (multiplicity 2)
Sn (0.000, 0.000, 0.686) (multiplicity 2)
Ge (0.000, 0.500, 0.855) (multiplicity 2)
Ge (0.229, 0.260, 0.366) (multiplicity 8)

## Properties
Energy of formation from the pure elements   -0.5496 eV/atom